[1]
A relaxed Na3PdBr crystal. Source: Alexandria, functional PBE.

Space-group type = Pm-3m (221)
ΔE to the lowest computed polymorph = 86 meV per atom

Unit cell a=5.3918 b=5.3918 c=5.3918 alpha=90.00 beta=90.00 gamma=90.00
Positions (direct):
Na  0.0000  0.5000  0.0000
Na  0.0000  0.0000  0.5000
Na  0.5000  0.0000  0.0000
Br  0.0000  0.0000  0.0000
Pd  0.5000  0.5000  0.5000


[2]
A relaxed NaPdBr crystal. Source: Alexandria, functional PBE.

Space-group type = P1 (1)
ΔE to the lowest computed polymorph = 20 meV per atom

Unit cell a=10.7269 b=3.6029 c=3.6322 alpha=90.00 beta=81.66 gamma=80.47
Positions (direct):
Na  0.5432  0.5534  0.5163
Na  0.1811  0.7311  0.2037
Br  0.3998  0.1238  0.0770
Br  0.0424  0.2997  0.7605
Pd  0.8370  0.4070  0.3937
Pd  0.7558  0.9465  0.9324


DOS at the Fermi energy? In order: 0.2 0.2 states/eV per cell.
E_form (uncorrected)? In order: -0.2888 -0.5910 eV/atom.